[1]
Below is Ca3InO after structural relaxation, with properties calculated at the GGA-PBE level.

Unit cell a=3.600 b=9.104 c=8.621 alpha=90.00 beta=77.82 gamma=90.00
Atoms (fractional coordinates):
In1 0.561 0.750 0.878
In2 0.439 0.250 0.122
Ca1 0.901 0.564 0.189
Ca2 0.766 0.250 0.480
Ca3 0.234 0.750 0.520
Ca4 0.099 0.064 0.811
Ca5 0.901 0.936 0.189
Ca6 0.099 0.436 0.811
O1 0.816 0.750 0.357
O2 0.184 0.250 0.643

Calculated values
Final energy, eV per atom: -4.0249
Formation energy without anion corrections, eV/atom: -1.285

[2]
Below is CaIn3O after structural relaxation, with properties calculated at the GGA-PBE level.

Unit cell a=4.947 b=4.947 c=4.947 alpha=90.00 beta=90.00 gamma=90.00
Atoms (fractional coordinates):
Ca1 0.500 0.500 0.500
In1 0.500 0.000 0.000
In2 0.000 0.500 0.000
In3 0.000 0.000 0.500
O1 0.000 0.000 0.000

Calculated values
Final energy, eV per atom: -3.4315
Formation energy without anion corrections, eV/atom: -0.397
Excess energy over the best structure of this formula in the dataset, meV per atom: 0

[3]
Below is Ca3InO after structural relaxation, with properties calculated at the GGA-PBE level.

Unit cell a=9.651 b=9.651 c=6.551 alpha=90.00 beta=90.00 gamma=137.01
Last column: magnetic moment on the atom in μB.
Atoms (fractional coordinates):
Ca1 0.433 0.083 0.750  0.01
Ca2 0.083 0.433 0.250  0.01
Ca3 0.000 0.000 0.000  0.04
Ca4 0.567 0.917 0.250  0.01
Ca5 0.000 0.000 0.500  0.04
Ca6 0.917 0.567 0.750  0.01
In1 0.157 0.843 0.250  0.10
In2 0.843 0.157 0.750  0.10
O1 0.384 0.616 0.250  0.01
O2 0.616 0.384 0.750  0.01

Calculated values
Final energy, eV per atom: -3.3648
Formation energy without anion corrections, eV/atom: -0.625

[4]
Below is Ca3InO after structural relaxation, with properties calculated at the GGA-PBE level.

Unit cell a=8.732 b=8.732 c=8.732 alpha=49.09 beta=49.09 gamma=49.09
Atoms (fractional coordinates):
Ca1 0.542 0.250 0.958
Ca2 0.250 0.958 0.542
Ca3 0.458 0.750 0.042
Ca4 0.750 0.042 0.458
Ca5 0.958 0.542 0.250
Ca6 0.042 0.458 0.750
In1 0.500 0.500 0.500
In2 0.000 0.000 0.000
O1 0.750 0.750 0.750
O2 0.250 0.250 0.250

Calculated values
Final energy, eV per atom: -3.8497
Formation energy without anion corrections, eV/atom: -1.109

[5]
Below is Ca3InO after structural relaxation, with properties calculated at the GGA-PBE level.

Unit cell a=21.384 b=9.689 c=9.689 alpha=159.54 beta=154.42 gamma=25.58
Atoms (fractional coordinates):
Ca1 0.823 0.882 0.118
Ca2 0.518 0.337 0.663
Ca3 0.482 0.663 0.337
Ca4 0.214 0.746 0.254
Ca5 0.177 0.118 0.882
Ca6 0.786 0.254 0.746
O1 0.341 0.051 0.949
O2 0.659 0.949 0.051
In1 0.887 0.988 0.012
In2 0.113 0.012 0.988

Calculated values
Final energy, eV per atom: -3.9069
Formation energy without anion corrections, eV/atom: -1.167

[6]
Below is CaInO3 after structural relaxation, with properties calculated at the GGA-PBE level.

Unit cell a=4.154 b=4.154 c=4.154 alpha=90.00 beta=90.00 gamma=90.00
Atoms (fractional coordinates):
O1 0.500 0.500 0.000
O2 0.000 0.500 0.500
O3 0.500 0.000 0.500
In1 0.500 0.500 0.500
Ca1 0.000 0.000 0.000

Calculated values
Final energy, eV per atom: -5.4872
Formation energy without anion corrections, eV/atom: -1.564

[7]
Below is Ca9In3O2 after structural relaxation, with properties calculated at the GGA-PBE level.

Unit cell a=7.022 b=7.022 c=8.610 alpha=90.00 beta=90.00 gamma=120.00
Atoms (fractional coordinates):
Ca1 0.827 0.173 0.324
Ca2 0.345 0.173 0.324
Ca3 0.500 0.000 0.000
Ca4 0.000 0.500 0.000
Ca5 0.173 0.827 0.676
Ca6 0.827 0.655 0.324
Ca7 0.655 0.827 0.676
Ca8 0.173 0.345 0.676
Ca9 0.500 0.500 0.000
In1 0.667 0.333 0.663
In2 0.000 0.000 0.000
In3 0.333 0.667 0.337
O1 0.667 0.333 0.164
O2 0.333 0.667 0.836

Calculated values
Final energy, eV per atom: -3.6516
Formation energy without anion corrections, eV/atom: -1.070

[8]
Below is Ca3InO after structural relaxation, with properties calculated at the GGA-PBE level.

Unit cell a=21.130 b=6.705 c=9.402 alpha=90.00 beta=156.81 gamma=90.00
Atoms (fractional coordinates):
Ca1 0.684 0.501 0.911
Ca2 0.078 0.254 0.873
Ca3 0.422 0.754 0.627
Ca4 0.922 0.746 0.127
Ca5 0.817 0.506 0.582
Ca6 0.316 0.499 0.089
Ca7 0.683 0.006 0.918
Ca8 0.183 0.494 0.418
Ca9 0.317 0.994 0.082
Ca10 0.816 0.001 0.589
Ca11 0.184 0.999 0.411
Ca12 0.578 0.246 0.373
O1 0.492 0.753 0.539
O2 0.508 0.247 0.461
O3 0.992 0.747 0.039
O4 0.008 0.253 0.961
In1 0.972 0.241 0.290
In2 0.528 0.741 0.210
In3 0.028 0.759 0.710
In4 0.472 0.259 0.790

Calculated values
Final energy, eV per atom: -4.0301
Formation energy without anion corrections, eV/atom: -1.290

[9]
Below is Ca3InO after structural relaxation, with properties calculated at the GGA-PBE level.

Unit cell a=9.272 b=9.272 c=9.272 alpha=60.00 beta=60.00 gamma=60.00
Atoms (fractional coordinates):
O1 0.125 0.625 0.125
O2 0.125 0.125 0.625
O3 0.125 0.125 0.125
O4 0.625 0.125 0.125
Ca1 0.437 0.437 0.063
Ca2 0.813 0.813 0.187
Ca3 0.437 0.063 0.437
Ca4 0.063 0.437 0.437
Ca5 0.063 0.437 0.063
Ca6 0.063 0.063 0.437
Ca7 0.813 0.187 0.187
Ca8 0.187 0.813 0.187
Ca9 0.187 0.813 0.813
Ca10 0.813 0.187 0.813
Ca11 0.187 0.187 0.813
Ca12 0.437 0.063 0.063
In1 0.625 0.625 0.125
In2 0.125 0.625 0.625
In3 0.625 0.625 0.625
In4 0.625 0.125 0.625

Calculated values
Final energy, eV per atom: -3.7641
Formation energy without anion corrections, eV/atom: -1.024

[10]
Below is Ca3InO after structural relaxation, with properties calculated at the GGA-PBE level.

Unit cell a=6.135 b=6.135 c=6.135 alpha=94.59 beta=94.59 gamma=94.59
Last column: magnetic moment on the atom in μB.
Atoms (fractional coordinates):
Ca1 0.884 0.281 0.884  0.02
Ca2 0.884 0.884 0.281  0.04
Ca3 0.281 0.884 0.884  0.02
In1 0.755 0.755 0.755  0.11
O1 0.070 0.070 0.070  0.01

Calculated values
Final energy, eV per atom: -3.5973
Formation energy without anion corrections, eV/atom: -0.857

[11]
Below is Ca4In2O after structural relaxation, with properties calculated at the GGA-PBE level.

Unit cell a=4.819 b=4.819 c=8.945 alpha=74.37 beta=74.37 gamma=90.00
Atoms (fractional coordinates):
O1 0.000 0.000 0.000
In1 0.638 0.638 0.725
In2 0.362 0.362 0.275
Ca1 0.500 0.000 0.000
Ca2 0.836 0.836 0.328
Ca3 0.000 0.500 0.000
Ca4 0.164 0.164 0.672

Calculated values
Final energy, eV per atom: -3.6114
Formation energy without anion corrections, eV/atom: -0.977

[12]
Below is Ca3InO after structural relaxation, with properties calculated at the GGA-PBE level.

Unit cell a=13.636 b=9.291 c=9.291 alpha=90.18 beta=127.35 gamma=52.65
Atoms (fractional coordinates):
In1 0.750 0.590 0.090
In2 0.250 0.820 0.320
In3 0.250 0.410 0.910
In4 0.750 0.180 0.680
Ca1 0.660 0.202 0.266
Ca2 0.336 0.413 0.337
Ca3 0.160 0.234 0.298
Ca4 0.340 0.798 0.734
Ca5 0.840 0.766 0.702
Ca6 0.468 0.900 0.150
Ca7 0.164 0.837 0.913
Ca8 0.032 0.650 0.400
Ca9 0.968 0.350 0.600
Ca10 0.532 0.100 0.850
Ca11 0.836 0.163 0.087
Ca12 0.664 0.587 0.663
O1 0.229 0.972 0.843
O2 0.729 0.657 0.528
O3 0.271 0.343 0.472
O4 0.771 0.028 0.157

Calculated values
Final energy, eV per atom: -4.0141
Formation energy without anion corrections, eV/atom: -1.274

[13]
Below is Ca3InO after structural relaxation, with properties calculated at the GGA-PBE level.

Unit cell a=6.943 b=5.847 c=6.943 alpha=89.86 beta=59.99 gamma=89.88
Atoms (fractional coordinates):
Ca1 0.216 0.836 0.527
Ca2 0.741 0.835 0.001
Ca3 0.058 0.335 0.843
Ca4 0.742 0.837 0.527
Ca5 0.583 0.336 0.843
Ca6 0.058 0.337 0.369
O1 0.900 0.086 0.685
O2 0.900 0.586 0.685
In1 0.566 0.336 0.351
In2 0.233 0.836 0.018

Calculated values
Final energy, eV per atom: -4.1220
Formation energy without anion corrections, eV/atom: -1.382

[14]
Below is Ca2InOsO6 after structural relaxation, with properties calculated at the GGA-PBE level.

Unit cell a=5.537 b=5.757 c=7.948 alpha=90.00 beta=90.14 gamma=90.00
Last column: magnetic moment on the atom in μB.
Atoms (fractional coordinates):
O1 0.682 0.287 0.561  0.12
O2 0.708 0.312 0.947  0.12
O3 0.208 0.188 0.447  0.12
O4 0.792 0.812 0.553  0.12
O5 0.109 0.457 0.763  0.11
O6 0.318 0.713 0.439  0.12
O7 0.292 0.688 0.053  0.12
O8 0.391 0.957 0.737  0.11
O9 0.818 0.787 0.939  0.12
O10 0.891 0.543 0.237  0.11
O11 0.609 0.043 0.263  0.11
O12 0.182 0.213 0.061  0.12
Ca1 0.984 0.058 0.748  0.01
Ca2 0.516 0.558 0.752  0.01
Ca3 0.484 0.442 0.248  0.01
Ca4 0.016 0.942 0.252  0.01
Os1 0.000 0.500 0.000  2.00
Os2 0.500 0.000 0.500  2.00
In1 0.000 0.500 0.500  0.04
In2 0.500 0.000 0.000  0.04

Calculated values
Final energy, eV per atom: -6.7427
Formation energy without anion corrections, eV/atom: -1.971

[15]
Below is CaInPO2 after structural relaxation, with properties calculated at the GGA-PBE level.

Unit cell a=4.252 b=4.252 c=5.115 alpha=90.00 beta=90.00 gamma=90.00
Last column: magnetic moment on the atom in μB.
Atoms (fractional coordinates):
In1 0.000 0.000 0.000  0.01
O1 0.000 0.500 0.000  0.38
O2 0.500 0.000 0.000  0.38
P1 0.000 0.000 0.500  0.41
Ca1 0.500 0.500 0.500  0.02

Calculated values
Final energy, eV per atom: -4.7053
Formation energy without anion corrections, eV/atom: -0.692
Excess energy over the best structure of this formula in the dataset, meV per atom: 0

[16]
Below is CaInP2O after structural relaxation, with properties calculated at the GGA-PBE level.

Unit cell a=5.380 b=5.380 c=4.209 alpha=90.00 beta=90.00 gamma=90.00
Last column: magnetic moment on the atom in μB.
Atoms (fractional coordinates):
In1 0.500 0.500 0.500  0.01
Ca1 0.000 0.000 0.000  0.01
O1 0.000 0.000 0.500  0.47
P1 0.500 0.000 0.000  0.20
P2 0.000 0.500 0.000  0.20

Calculated values
Final energy, eV per atom: -3.7835
Formation energy without anion corrections, eV/atom: 0.320
Excess energy over the best structure of this formula in the dataset, meV per atom: 406

[17]
Below is CaInP2O after structural relaxation, with properties calculated at the GGA-PBE level.

Unit cell a=5.169 b=5.169 c=4.153 alpha=90.00 beta=90.00 gamma=90.00
Last column: magnetic moment on the atom in μB.
Atoms (fractional coordinates):
Ca1 0.500 0.500 0.500  0.03
O1 0.000 0.000 0.500  0.36
In1 0.000 0.000 0.000  0.01
P1 0.000 0.500 0.000  0.32
P2 0.500 0.000 0.000  0.32

Calculated values
Final energy, eV per atom: -4.1893
Formation energy without anion corrections, eV/atom: -0.086
Excess energy over the best structure of this formula in the dataset, meV per atom: 0

[18]
Below is CaIn2P3O12 after structural relaxation, with properties calculated at the GGA-PBE level.

Unit cell a=6.651 b=6.733 c=20.801 alpha=90.00 beta=90.00 gamma=92.10
Last column: magnetic moment on the atom in μB.
Atoms (fractional coordinates):
O1 0.522 0.083 0.716  0.10
O2 0.738 0.914 0.803  0.04
O3 0.686 0.121 0.023  0.06
O4 0.938 0.778 0.995  0.05
O5 0.051 0.940 0.688  0.19
O6 0.849 0.405 0.086  0.07
O7 0.387 0.412 0.083  0.24
O8 0.084 0.255 0.407  0.04
O9 0.906 0.771 0.204  0.03
O10 0.613 0.588 0.917  0.24
O11 0.478 0.917 0.284  0.10
O12 0.777 0.262 0.892  0.07
O13 0.547 0.446 0.606  0.02
O14 0.406 0.271 0.296  0.03
O15 0.062 0.222 0.005  0.05
O16 0.126 0.651 0.299  0.07
O17 0.314 0.879 0.977  0.06
O18 0.916 0.745 0.593  0.04
O19 0.238 0.414 0.697  0.04
O20 0.151 0.595 0.914  0.07
O21 0.277 0.762 0.608  0.07
O22 0.584 0.755 0.093  0.04
O23 0.874 0.349 0.701  0.07
O24 0.887 0.912 0.417  0.24
O25 0.374 0.849 0.799  0.07
O26 0.022 0.583 0.784  0.10
O27 0.438 0.278 0.505  0.05
O28 0.416 0.245 0.907  0.04
O29 0.223 0.738 0.108  0.07
O30 0.562 0.722 0.495  0.05
O31 0.762 0.586 0.303  0.04
O32 0.723 0.238 0.392  0.07
O33 0.978 0.417 0.216  0.10
O34 0.094 0.229 0.796  0.03
O35 0.349 0.905 0.414  0.07
O36 0.626 0.151 0.201  0.07
O37 0.186 0.621 0.477  0.06
O38 0.949 0.060 0.312  0.19
O39 0.651 0.095 0.586  0.07
O40 0.262 0.086 0.197  0.04
O41 0.113 0.088 0.583  0.24
O42 0.551 0.440 0.812  0.19
O43 0.814 0.379 0.523  0.06
O44 0.047 0.946 0.894  0.02
O45 0.449 0.560 0.188  0.19
O46 0.594 0.729 0.704  0.03
O47 0.953 0.054 0.106  0.02
O48 0.453 0.554 0.394  0.02
In1 0.598 0.786 0.596  0.00
In2 0.060 0.896 0.789  0.00
In3 0.440 0.604 0.289  0.00
In4 0.902 0.714 0.096  0.00
In5 0.402 0.214 0.404  0.00
In6 0.560 0.396 0.711  0.00
In7 0.098 0.286 0.904  0.00
In8 0.940 0.104 0.211  0.00
P1 0.881 0.207 0.052  0.00
P2 0.911 0.111 0.383  -0.01
P3 0.589 0.389 0.883  -0.01
P4 0.443 0.104 0.244  -0.01
P5 0.381 0.707 0.448  0.00
P6 0.619 0.293 0.552  0.00
P7 0.557 0.896 0.756  -0.01
P8 0.057 0.396 0.744  -0.01
P9 0.089 0.889 0.617  -0.01
P10 0.943 0.604 0.256  -0.01
P11 0.119 0.793 0.948  0.00
P12 0.411 0.611 0.117  -0.01
Ca1 0.137 0.430 0.575  0.00
Ca2 0.637 0.930 0.925  0.00
Ca3 0.863 0.570 0.425  0.00
Ca4 0.363 0.070 0.075  0.00

Calculated values
Final energy, eV per atom: -6.7606
Formation energy without anion corrections, eV/atom: -2.138

[19]
Below is CaInPO2 after structural relaxation, with properties calculated at the GGA-PBE level.

Unit cell a=4.271 b=4.271 c=5.851 alpha=90.00 beta=90.00 gamma=90.00
Last column: magnetic moment on the atom in μB.
Atoms (fractional coordinates):
P1 0.000 0.000 0.500  0.27
O1 0.500 0.000 0.000  0.72
O2 0.000 0.500 0.000  0.72
Ca1 0.000 0.000 0.000  0.01
In1 0.500 0.500 0.500  -0.01

Calculated values
Final energy, eV per atom: -4.3037
Formation energy without anion corrections, eV/atom: -0.290
Excess energy over the best structure of this formula in the dataset, meV per atom: 402